Entry 1:
{
  "formula": "BOs",
  "functional": "PBE",
  "state": "relaxed",
  "space_group": "No. 225",
  "formation_enthalpy_0k_ev_per_atom": 0.48,
  "dos_at_fermi_per_ev_cell": 6.2,
  "lattice": [[4.421, 0.000, 0.000], [0.000, 4.421, 0.000], [0.000, 0.000, 4.421]],
  "species": ["B", "B", "B", "B", "Os", "Os", "Os", "Os"],
  "fractional_positions": [[0.500, 0.000, 0.500], [0.000, 0.500, 0.500], [0.000, 0.000, 0.000], [0.500, 0.500, 0.000], [0.000, 0.000, 0.500], [0.000, 0.500, 0.000], [0.500, 0.500, 0.500], [0.500, 0.000, 0.000]]
}



Entry 2:
{
  "formula": "BOs",
  "functional": "PBE",
  "state": "relaxed",
  "space_group": "No. 136",
  "formation_enthalpy_0k_ev_per_atom": 0.62,
  "dos_at_fermi_per_ev_cell": 8.7,
  "lattice": [[5.388, 0.000, 0.000], [0.000, 5.388, 0.000], [0.000, 0.000, 3.699]],
  "species": ["B", "B", "B", "B", "Os", "Os", "Os", "Os"],
  "fractional_positions": [[0.703, 0.703, 0.500], [0.297, 0.297, 0.500], [0.797, 0.203, 0.000], [0.203, 0.797, 0.000], [0.176, 0.176, 0.000], [0.676, 0.324, 0.500], [0.824, 0.824, 0.000], [0.324, 0.676, 0.500]]
}



Number 2 is which compound?
BOs